ErTm2Co2B2O3 after structural relaxation, computed with PBE+U.

DFT total energy	-68.5	eV per cell
total moment	0.001	μB per formula unit
calculated density	9.57	g/cm³
space group	I4/mmm (139)
volume	120.22	Å³/cell

abc: 10.8269 10.8269 10.8269
angles: 162.07 162.07 25.46
Last column: nearest neighbours and their distance in Å.
Fractional coordinates of all 10 atoms:
1 Er 0.0000 0.0000 0.0000  6 O 2.18-2.39
2 Tm 0.3614 0.3614 0.0000  4 O 2.50, 4 B 2.80
3 Tm 0.6387 0.6387 0.0000  4 O 2.50, 4 B 2.80
4 Co 0.2500 0.7500 0.5000  4 B 1.91
5 Co 0.7500 0.2500 0.5000  4 B 1.91
6 B 0.2078 0.2078 0.0000  4 Co 1.91
7 B 0.7922 0.7922 0.0000  4 Co 1.91
8 O 0.1032 0.1032 0.0000  1 Er 2.18, 1 B 2.21
9 O 0.5000 0.5000 0.0000  4 Er 2.39
10 O 0.8968 0.8968 0.0000  1 Er 2.18, 1 B 2.21